Run one
An optimized crystal structure of NaMg6CoO8, computed with GGA+U.

Cell lengths 4.259, 4.259, 8.590 Å; angles 90.00, 90.00, 90.00 degrees
Element x y z (fractional)
Na  0.000  0.000  0.000
Mg  0.000  0.000  0.500
Mg  0.000  0.500  0.247
Mg  0.000  0.500  0.753
Mg  0.500  0.000  0.247
Mg  0.500  0.000  0.753
Mg  0.500  0.500  0.500
Co  0.500  0.500  0.000
O  0.000  0.000  0.264
O  0.000  0.000  0.736
O  0.000  0.500  0.000
O  0.000  0.500  0.500
O  0.500  0.000  0.000
O  0.500  0.000  0.500
O  0.500  0.500  0.236
O  0.500  0.500  0.764

Crystal system: tetragonal
V in Å³ per atom: 9.737

Run two
An optimized crystal structure of NaMg6CoO8, computed with GGA+U.

Cell lengths 4.337, 4.337, 8.427 Å; angles 90.00, 90.00, 90.00 degrees
Element x y z (fractional)
Na  0.000  0.000  0.000
Mg  0.000  0.500  0.243
Mg  0.000  0.500  0.757
Mg  0.500  0.000  0.243
Mg  0.500  0.000  0.757
Mg  0.500  0.500  0.000
Mg  0.500  0.500  0.500
Co  0.000  0.000  0.500
O  0.000  0.000  0.277
O  0.000  0.000  0.723
O  0.000  0.500  0.000
O  0.000  0.500  0.500
O  0.500  0.000  0.000
O  0.500  0.000  0.500
O  0.500  0.500  0.253
O  0.500  0.500  0.747

Crystal system: tetragonal
V in Å³ per atom: 9.908

run two is the most stable structure; the next one sits 17 meV per atom above it.